A relaxed structure of MgPaTcOs, computed with PBE.

Geometry as POSCAR:
```
MgPaTcOs
1.0
-0.5332 3.1542 3.3959
-3.5466 -0.3860 3.0063
0.8212 -1.1872 4.4363
Mg Pa Os Tc
1 1 1 1
direct
0.2500 0.2500 0.2500
0.7500 0.7500 0.7500
0.5000 0.5000 0.5000
0.0000 0.0000 0.0000
```

Properties
- E_form: -0.111 eV/atom
- Final energy: -8.28 eV per atom
- Symmetry: F-43m (216)

A relaxed structure of Sb2PAu, computed with PBE.

Geometry as POSCAR:
```
Sb2PAu
1.0
3.7018 -4.4233 2.6311
-1.7670 -5.7828 1.9047
-0.3683 4.0709 -4.8460
Sb Au P
2 1 1
direct
0.2500 0.7500 0.5000
0.0000 0.0000 0.0000
0.5000 0.5000 0.0000
0.7500 0.2500 0.5000
```

Properties
- Final energy: -3.86 eV per atom
- Energy relative to the elements, uncorrected: 0.375 eV per atom
- Symmetry: I-4m2 (119)